Compound: Tb7Nd4Sc
Source: Alexandria
Functional: GGA-PBE
Structure: relaxed

POSCAR file:
```
Tb7Nd4Sc
1.0
5.727 -2.682 0.000
5.727 2.682 0.000
-3.308 0.000 12.848
Tb Nd Sc
7 4 1
Direct
0.000 0.000 0.000
0.088 0.088 0.629
0.232 0.232 0.899
0.362 0.362 0.535
0.638 0.638 0.465
0.768 0.768 0.101
0.912 0.912 0.371
0.179 0.179 0.263
0.464 0.464 0.217
0.536 0.536 0.783
0.821 0.821 0.737
0.500 0.500 0.000
```

Output
SG	C2/m
ΔE_f	0.19	eV per atom
DOS at the Fermi energy	15.93	states/eV/f.u.



Compound: PrGa9Rh2
Source: Alexandria
Functional: GGA-PBE
Structure: relaxed

POSCAR file:
```
PrGa9Rh2
1.0
8.233 0.000 0.000
-4.116 7.130 0.000
0.000 0.000 3.773
Pr Ga Rh
1 9 2
Direct
0.000 0.000 0.000
0.000 0.500 0.000
0.199 0.397 0.500
0.199 0.801 0.500
0.397 0.199 0.500
0.500 0.000 0.000
0.500 0.500 0.000
0.603 0.801 0.500
0.801 0.199 0.500
0.801 0.603 0.500
0.333 0.667 0.000
0.667 0.333 0.000
```

Output
SG	P6/mmm
ΔE_f	-0.40	eV per atom
DOS at the Fermi energy	6.49	states/eV/f.u.



Compound: Ac3Te
Source: Alexandria
Functional: GGA-PBE
Structure: relaxed

POSCAR file:
```
Ac3Te
1.0
5.315 0.000 0.000
0.000 5.315 0.000
0.000 0.000 5.315
Ac Te
3 1
Direct
0.000 0.000 0.500
0.000 0.500 0.000
0.500 0.000 0.000
0.500 0.500 0.500
```

Output
SG	Pm-3m
DOS at the Fermi energy	4.23	states/eV/f.u.



Compound: Rb2InWCl6
Source: Alexandria
Functional: GGA-PBE
Structure: relaxed

POSCAR file:
```
Rb2InWCl6
1.0
0.000 5.458 5.458
5.458 0.000 5.458
5.458 5.458 0.000
Rb In W Cl
2 1 1 6
Direct
0.250 0.250 0.250
0.750 0.750 0.750
0.000 0.000 0.000
0.500 0.500 0.500
0.275 0.275 0.725
0.275 0.725 0.275
0.275 0.725 0.725
0.725 0.275 0.275
0.725 0.275 0.725
0.725 0.725 0.275
```

Output
SG	Fm-3m
DOS at the Fermi energy	0.00	states/eV/f.u.



Compound: Er3Ge2O
Source: Alexandria
Functional: GGA-PBE
Structure: relaxed

POSCAR file:
```
Er3Ge2O
1.0
5.721 -3.824 0.000
5.721 3.824 0.000
0.000 0.000 6.361
Er Ge O
6 4 2
Direct
0.000 0.000 0.000
0.000 0.000 0.500
0.185 0.488 0.750
0.488 0.185 0.250
0.512 0.815 0.750
0.815 0.512 0.250
0.178 0.601 0.250
0.399 0.822 0.250
0.601 0.178 0.750
0.822 0.399 0.750
0.200 0.800 0.750
0.800 0.200 0.250
```

Output
SG	Cmcm
DOS at the Fermi energy	2.96	states/eV/f.u.



Number 1: electronic total energy -55.6 eV/cell. Number 2: electronic total energy -51.5 eV/cell. Number 3: electronic total energy -17.3 eV/cell. Number 4: electronic total energy -40.6 eV/cell. Number 5: electronic total energy -72.5 eV/cell.